#w
A geometry-optimized NdDy2 structure. Source: the Open Quantum Materials Database, functional PBE-GGA.

The structure in POSCAR format:
```
NdDy2
1.0
0.000 4.679 4.679
4.679 0.000 4.679
4.679 4.679 0.000
Nd Dy
2 4
Cartesian
1.170 1.170 1.170
8.188 8.188 8.188
4.679 2.339 2.339
2.339 4.679 2.339
2.339 2.339 4.679
4.679 4.679 4.679
```

theoretical density: 7.61 Mg/m³

---

#x
A geometry-optimized NdDy2 structure. Source: the Open Quantum Materials Database, functional PBE-GGA.

The structure in POSCAR format:
```
NdDy2
1.0
0.000 6.309 6.309
6.309 0.000 6.309
6.309 6.309 0.000
Nd Dy
2 4
Cartesian
1.577 1.577 1.577
11.041 11.041 11.041
0.000 0.000 0.000
3.155 3.155 0.000
3.155 0.000 3.155
0.000 3.155 3.155
```

theoretical density: 3.10 Mg/m³

---

Quick one: least stable of them? #x

---

#w
A geometry-optimized NdDyNi4 structure. Source: the Open Quantum Materials Database, functional PBE-GGA.

The structure in POSCAR format:
```
NdDyNi4
1.0
0.000 3.599 3.599
3.599 0.000 3.599
3.599 3.599 0.000
Nd Dy Ni
1 1 4
Cartesian
0.000 0.000 0.000
1.800 1.800 1.800
4.491 2.707 2.707
2.707 4.491 2.707
2.707 2.707 4.491
4.491 4.491 4.491
```

theoretical density: 9.64 Mg/m³

---

#x
A geometry-optimized NdDyNi4 structure. Source: the Open Quantum Materials Database, functional PBE-GGA.

The structure in POSCAR format:
```
NdDyNi4
1.0
5.402 0.000 0.000
-2.701 4.679 0.000
0.000 0.000 7.993
Nd Dy Ni
2 2 8
Cartesian
0.000 0.000 0.000
0.000 0.000 3.997
0.000 3.119 0.000
2.701 1.560 0.000
-1.351 2.339 2.184
-1.351 2.339 5.810
0.000 3.119 3.997
2.701 0.000 2.184
2.701 0.000 5.810
1.351 2.339 2.184
1.351 2.339 5.810
2.701 1.560 3.997
```

theoretical density: 8.90 Mg/m³

---

Quick one: least stable of them? #x

---

#w
A geometry-optimized Nd3Dy3NiTe2 structure. Source: the Open Quantum Materials Database, functional PBE-GGA.

The structure in POSCAR format:
```
Nd3Dy3NiTe2
1.0
8.529 0.000 0.000
-4.265 7.387 0.000
0.000 0.000 4.005
Nd Dy Ni Te
3 3 1 2
Cartesian
-1.735 3.004 0.000
3.469 0.000 0.000
2.530 4.382 0.000
-3.263 5.652 2.002
1.002 1.735 2.002
6.526 0.000 2.002
0.000 0.000 0.000
0.000 4.924 2.002
4.265 2.462 2.002
```

theoretical density: 8.12 Mg/m³

---

#x
A geometry-optimized Nd3Dy3NiTe2 structure. Source: the Open Quantum Materials Database, functional PBE-GGA.

The structure in POSCAR format:
```
Nd3Dy3NiTe2
1.0
8.604 0.000 0.000
-4.302 7.452 0.000
0.000 0.000 3.899
Nd Dy Ni Te
3 3 1 2
Cartesian
-3.259 5.644 0.000
1.044 1.808 0.000
6.517 0.000 0.000
-1.761 3.050 1.949
3.522 0.000 1.949
2.541 4.402 1.949
0.000 0.000 1.949
0.000 4.968 0.000
4.302 2.484 0.000
```

theoretical density: 8.20 Mg/m³

---

Quick one: least stable of them? #x